No. 1
The following is a DFT calculation (GGA-PBEsol) of an optimized crystal structure of NaBiAu2N.

abc: 4.3984 4.3984 4.6029
angles: 90.00 90.00 90.00
Closest atoms and distances in Å follow each position.
Sites, in units of the cell vectors:
Au (0.0000, 0.5000, 0.0000)  2 N 2.20
Au (0.5000, 0.0000, 0.0000)  2 N 2.20
Na (0.0000, 0.0000, 0.5000)  2 N 2.30
N (0.0000, 0.0000, 0.0000)  4 Au 2.20, 2 Na 2.30
Bi (0.5000, 0.5000, 0.5000)  4 Na 3.11, 8 Au 3.18

Summary:
Energy in eV/f.u.: -19.931
E_form (uncorrected) in kJ/mol of formula units: 205.4

No. 2
The following is a DFT calculation (GGA-PBEsol) of an optimized crystal structure of Na2BiAu2.

abc: 3.9690 7.5903 7.5903
angles: 90.00 90.00 90.00
Closest atoms and distances in Å follow each position.
Sites, in units of the cell vectors:
Na (0.5000, 0.6665, 0.8335)  6 Au 2.95-3.01
Na (0.5000, 0.3335, 0.1665)  6 Au 2.95-3.01
Na (0.5000, 0.1665, 0.6665)  6 Au 2.95-3.01
Na (0.5000, 0.8335, 0.3335)  6 Au 2.95-3.01
Au (0.0000, 0.3702, 0.8702)  1 Au 2.79, 6 Na 2.95-3.01, 2 Bi 2.98
Au (0.0000, 0.1298, 0.3702)  1 Au 2.79, 6 Na 2.95-3.01, 2 Bi 2.98
Au (0.0000, 0.8702, 0.6298)  1 Au 2.79, 6 Na 2.95-3.01, 2 Bi 2.98
Au (0.0000, 0.6298, 0.1298)  1 Au 2.79, 6 Na 2.95-3.01, 2 Bi 2.98
Bi (0.0000, 0.0000, 0.0000)  4 Au 2.98
Bi (0.0000, 0.5000, 0.5000)  4 Au 2.98

Summary:
Formation enthalpy at 0 K in eV per formula unit: -0.97
Energy in eV/f.u.: -15.905